GGA-PBE Sm3Se2ClO8, optimized geometry; total energy = -381.2 eV per cell; total magnetic moment = 0.0 μB per cell
1.0
5.6424 0.0000 0.0000
0.0000 14.4546 0.0000
0.0000 0.0000 11.4441
Sm Se Cl O
12 8 4 32
Cartesian
0.5692 3.6136 1.6800
0.7251 0.9148 4.1179
0.7251 6.3125 4.1179
2.0960 8.1421 9.8400
2.0960 13.5398 9.8400
2.2520 10.8409 7.4020
3.3904 3.6136 4.0421
3.5463 0.9148 1.6041
3.5463 6.3125 1.6041
4.9172 8.1421 7.3262
4.9172 13.5398 7.3262
5.0732 10.8409 9.7642
0.7071 8.8860 1.4034
0.7071 12.7958 1.4034
2.1141 1.6588 7.1255
2.1141 5.5685 7.1255
3.5283 8.8860 4.3187
3.5283 12.7958 4.3187
4.9353 1.6588 10.0407
4.9353 5.5685 10.0407
0.2994 3.6136 5.4946
2.5218 10.8409 11.2167
3.1206 3.6136 0.2274
5.3430 10.8409 5.9495
0.1458 1.8803 0.0613
0.1458 5.3470 0.0613
0.2572 0.4870 9.2001
0.2572 6.7403 9.2001
0.7886 9.4050 8.4894
0.7886 12.2769 8.4894
0.8503 0.6582 6.4809
0.8503 6.5691 6.4809
1.9709 7.8855 0.7589
1.9709 13.7964 0.7589
2.0326 2.1777 2.7673
2.0326 5.0496 2.7673
2.5640 7.7143 3.4781
2.5640 13.9676 3.4781
2.6754 9.1076 5.7834
2.6754 12.5743 5.7834
2.9670 1.8803 5.6608
2.9670 5.3470 5.6608
3.0784 0.4870 7.9661
3.0784 6.7403 7.9661
3.6098 9.4050 8.6769
3.6098 12.2769 8.6769
3.6714 0.6582 10.6853
3.6714 6.5691 10.6853
4.7921 7.8855 4.9632
4.7921 13.7964 4.9632
4.8538 2.1777 2.9548
4.8538 5.0496 2.9548
5.3852 7.7143 2.2440
5.3852 13.9676 2.2440
5.4966 9.1076 11.3828
5.4966 12.5743 11.3828